Density functional theory data (PBE-GGA) for a relaxed La6Si3H crystal.

VASP energy, eV per cell: -214.177
D(E_F), states/eV per cell: 42.9

a = 11.671 Å, b = 14.506 Å, c = 7.126 Å
α = 90.00°, β = 90.00°, γ = 90.00°
Space group Cmc2_1 (No. 36)
Asymmetric unit:
La: 0.000 0.039 0.000
La: 0.000 0.219 0.487
La: 0.162 0.475 0.475
La: 0.165 0.266 0.989
Si: 0.000 0.381 0.759
Si: 0.172 0.108 0.701
H: 0.000 0.193 0.138